No. 1
First-principles (GGA-PBEsol) data for a relaxed structure of PbI2O6, as listed in Alexandria via LeMat-Bulk.

Cell: 5.4492 5.9381 16.7689 Å, 90.00 90.00 90.00°
Positions (direct):
O 0.9139 0.0681 0.8855
O 0.4913 0.3561 0.2102
O 0.0861 0.9319 0.1145
Pb 0.7515 0.2500 0.5000
O 0.1042 0.1039 0.4301
Pb 0.2515 0.2500 0.0000
O 0.3958 0.8961 0.9301
I 0.2522 0.8025 0.8358
I 0.7478 0.3025 0.8358
I 0.2478 0.1975 0.3358
O 0.0087 0.8561 0.2898
O 0.8958 0.8961 0.5699
O 0.5861 0.9319 0.3855
O 0.5087 0.8561 0.2102
Pb 0.7485 0.7500 0.0000
O 0.5861 0.5681 0.6145
O 0.4139 0.0681 0.6145
O 0.3958 0.6039 0.0699
O 0.4913 0.1439 0.7898
O 0.5087 0.6439 0.7898
O 0.1042 0.3961 0.5699
O 0.4139 0.4319 0.3855
I 0.7522 0.6975 0.3358
I 0.2478 0.3025 0.6642
O 0.6042 0.1039 0.0699
O 0.9913 0.1439 0.7102
I 0.2522 0.6975 0.1642
I 0.7478 0.1975 0.1642
O 0.0087 0.6439 0.7102
Pb 0.2485 0.7500 0.5000
O 0.0861 0.5681 0.8855
O 0.6042 0.3961 0.9301
I 0.7522 0.8025 0.6642
O 0.9139 0.4319 0.1145
O 0.8958 0.6039 0.4301
O 0.9913 0.3561 0.2898

Computed properties:
Total magnetization: 0.0 Bohr magnetons per cell
Offset from the most stable computed form: 0.0 meV per atom
Raw formation energy: -5.50 eV/f.u.
Final energy: -4.95 eV per atom

=====

No. 2
First-principles (GGA-PBEsol) data for a relaxed structure of PtPbI2O, as listed in Alexandria via LeMat-Bulk.

Cell: 3.8404 5.6944 5.6944 Å, 90.00 90.00 90.00°
Positions (direct):
Pt 0.0000 0.0000 0.0000
I 0.0000 0.5000 0.0000
Pb 0.5000 0.5000 0.5000
O 0.5000 0.0000 0.0000
I 0.0000 0.0000 0.5000

Computed properties:
Total magnetization: 0.0 Bohr magnetons per cell
Raw formation energy: -0.64 eV/f.u.
Final energy: -4.08 eV per atom

=====

No. 3
First-principles (GGA-PBEsol) data for a relaxed structure of SnPbI2O, as listed in Alexandria via LeMat-Bulk.

Cell: 4.1755 6.2081 6.2081 Å, 90.00 90.00 90.00°
Positions (direct):
I 0.0000 0.0000 0.5000
I 0.0000 0.5000 0.0000
O 0.5000 0.0000 0.0000
Pb 0.0000 0.0000 0.0000
Sn 0.5000 0.5000 0.5000

Computed properties:
Total magnetization: 0.0 Bohr magnetons per cell
Raw formation energy: -0.65 eV/f.u.
Final energy: -3.54 eV per atom

=====

No. 4
First-principles (GGA-PBEsol) data for a relaxed structure of TePbIO2, as listed in Alexandria via LeMat-Bulk.

Cell: 4.2432 4.2432 6.9660 Å, 90.00 90.00 90.00°
Last column: magnetic moment on the atom in μB.
Positions (direct):
Pb 0.0000 0.0000 0.0000  -0.01
O 0.5000 0.0000 0.0000  0.13
I 0.0000 0.0000 0.5000  0.00
Te 0.5000 0.5000 0.5000  -0.01
O 0.0000 0.5000 0.0000  0.13

Computed properties:
Total magnetization: 0.3 Bohr magnetons per cell
Raw formation energy: 0.31 eV/f.u.
Final energy: -3.90 eV per atom

=====

No. 5
First-principles (GGA-PBEsol) data for a relaxed structure of TePbI2O, as listed in Alexandria via LeMat-Bulk.

Cell: 6.0627 6.0627 5.9230 Å, 90.00 90.00 90.00°
Last column: magnetic moment on the atom in μB.
Positions (direct):
O 0.5000 0.5000 0.5000  1.43
I 0.5000 0.0000 0.0000  0.14
Pb 0.0000 0.0000 0.0000  0.00
Te 0.0000 0.0000 0.5000  0.62
I 0.0000 0.5000 0.0000  0.14

Computed properties:
Total magnetization: 3.4 Bohr magnetons per cell
Raw formation energy: 3.92 eV/f.u.
Final energy: -2.48 eV per atom

=====

No. 6
First-principles (GGA-PBEsol) data for a relaxed structure of TiPbIO2, as listed in Alexandria via LeMat-Bulk.

Cell: 4.2084 4.2084 6.2602 Å, 90.00 90.00 90.00°
Last column: magnetic moment on the atom in μB.
Positions (direct):
O 0.5000 0.0000 0.0000  0.01
O 0.0000 0.5000 0.0000  0.01
Pb 0.0000 0.0000 0.0000  0.00
I 0.0000 0.0000 0.5000  -0.03
Ti 0.5000 0.5000 0.5000  2.02

Computed properties:
Total magnetization: 2.5 Bohr magnetons per cell
Raw formation energy: 0.34 eV/f.u.
Final energy: -4.85 eV per atom

=====

No. 7
First-principles (GGA-PBEsol) data for a relaxed structure of RePdI2O, as listed in Alexandria via LeMat-Bulk.

Cell: 3.7757 5.4266 5.4266 Å, 90.00 90.00 90.00°
Last column: magnetic moment on the atom in μB.
Positions (direct):
Re 0.5000 0.5000 0.5000  3.35
I 0.0000 0.5000 0.0000  0.06
Pd 0.0000 0.0000 0.0000  0.29
I 0.0000 0.0000 0.5000  0.06
O 0.5000 0.0000 0.0000  0.37

Computed properties:
Total magnetization: 5.0 Bohr magnetons per cell
Raw formation energy: 5.57 eV/f.u.
Final energy: -4.50 eV per atom

=====

No. 8
First-principles (GGA-PBEsol) data for a relaxed structure of PdSI2O, as listed in Alexandria via LeMat-Bulk.

Cell: 3.4833 5.4137 5.4137 Å, 90.00 90.00 90.00°
Positions (direct):
I 0.0000 0.0000 0.5000
I 0.0000 0.5000 0.0000
S 0.0000 0.0000 0.0000
Pd 0.5000 0.5000 0.5000
O 0.5000 0.0000 0.0000

Computed properties:
Total magnetization: 0.0 Bohr magnetons per cell
Raw formation energy: 1.49 eV/f.u.
Final energy: -3.53 eV per atom

=====

No. 9
First-principles (GGA-PBEsol) data for a relaxed structure of SbPdIO2, as listed in Alexandria via LeMat-Bulk.

Cell: 3.9056 3.9056 6.3975 Å, 90.00 90.00 90.00°
Positions (direct):
Sb 0.0000 0.0000 0.0000
I 0.0000 0.0000 0.5000
O 0.0000 0.5000 0.0000
O 0.5000 0.0000 0.0000
Pd 0.5000 0.5000 0.5000

Computed properties:
Total magnetization: 0.0 Bohr magnetons per cell
Offset from the most stable computed form: 0.0 meV per atom
Raw formation energy: -1.88 eV/f.u.
Final energy: -4.93 eV per atom

=====

No. 10
First-principles (GGA-PBEsol) data for a relaxed structure of SbPdIO2, as listed in Alexandria via LeMat-Bulk.

Cell: 4.1969 4.1969 5.0282 Å, 90.00 90.00 90.00°
Positions (direct):
I 0.0000 0.0000 0.5000
Sb 0.5000 0.5000 0.5000
Pd 0.0000 0.0000 0.0000
O 0.5000 0.0000 0.0000
O 0.0000 0.5000 0.0000

Computed properties:
Total magnetization: 0.0 Bohr magnetons per cell
Offset from the most stable computed form: 663.7 meV per atom
Raw formation energy: 1.44 eV/f.u.
Final energy: -4.27 eV per atom

=====

No. 11
First-principles (GGA-PBEsol) data for a relaxed structure of SrPdI2O, as listed in Alexandria via LeMat-Bulk.

Cell: 4.1883 6.2160 6.2160 Å, 90.00 90.00 90.00°
Last column: magnetic moment on the atom in μB.
Positions (direct):
O 0.5000 0.0000 0.0000  0.09
Pd 0.5000 0.5000 0.5000  0.69
Sr 0.0000 0.0000 0.0000  0.00
I 0.0000 0.5000 0.0000  0.19
I 0.0000 0.0000 0.5000  0.19

Computed properties:
Total magnetization: 1.4 Bohr magnetons per cell
Raw formation energy: -0.44 eV/f.u.
Final energy: -3.40 eV per atom

=====

No. 12
First-principles (GGA-PBEsol) data for a relaxed structure of TlPdIO2, as listed in Alexandria via LeMat-Bulk.

Cell: 4.1969 4.1969 5.3399 Å, 90.00 90.00 90.00°
Last column: magnetic moment on the atom in μB.
Positions (direct):
O 0.5000 0.0000 0.0000  0.37
O 0.0000 0.5000 0.0000  0.37
Tl 0.5000 0.5000 0.5000  0.02
I 0.0000 0.0000 0.5000  0.03
Pd 0.0000 0.0000 0.0000  0.33

Computed properties:
Total magnetization: 1.3 Bohr magnetons per cell
Offset from the most stable computed form: 0.0 meV per atom
Raw formation energy: 0.66 eV/f.u.
Final energy: -4.04 eV per atom